## Zr2ScSe (PBE-GGA)

Data for a relaxed Zr2ScSe crystal.

Calculated values
For the total magnetization, the calculation gives 0.00 μB per formula unit. Its total DFT energy (no corrections) is -7.125 eV per atom.

Lattice parameters (Å, degrees): 5.113 5.113 3.380 90.07 90.07 109.85
Atoms (fractional coordinates):
Zr (0.000, 0.500, 0.000)
Zr (0.500, 0.000, 0.000)
Sc (0.000, 0.000, 0.500)
Se (0.500, 0.500, 0.500)

---

## CaSm2CrN4 (PBE-GGA)

Data for a relaxed CaSm2CrN4 crystal.

Calculated values
For the total magnetization, the calculation gives 1.85 μB per formula unit. Its total DFT energy (no corrections) is -7.835 eV per atom.

Lattice parameters (Å, degrees): 6.198 6.198 11.977 90.00 90.00 147.51
Atoms (fractional coordinates):
Ca (0.101, 0.899, 0.750)
Ca (0.899, 0.101, 0.250)
Sm (0.369, 0.631, 0.541)
Sm (0.369, 0.631, 0.959)
Sm (0.631, 0.369, 0.041)
Sm (0.631, 0.369, 0.459)
Cr (0.174, 0.826, 0.250)
Cr (0.826, 0.174, 0.750)
N (0.000, 0.000, 0.000)
N (0.000, 0.000, 0.500)
N (0.264, 0.736, 0.130)
N (0.264, 0.736, 0.370)
N (0.405, 0.595, 0.750)
N (0.595, 0.405, 0.250)
N (0.736, 0.264, 0.630)
N (0.736, 0.264, 0.870)

---

## Nb2IrWBr (PBE-GGA)

Data for a relaxed Nb2IrWBr crystal.

Calculated values
For the total magnetization, the calculation gives 0.00 μB per formula unit. Its total DFT energy (no corrections) is -6.885 eV per atom.

Lattice parameters (Å, degrees): 4.906 4.906 4.700 90.00 90.00 90.00
Atoms (fractional coordinates):
Nb (0.000, 0.500, 0.000)
Nb (0.500, 0.000, 0.000)
Ir (0.000, 0.000, 0.500)
W (0.500, 0.500, 0.000)
Br (0.500, 0.500, 0.500)

---

- Look up the total magnetization of the third one.
  0.00 μB per formula unit

---

- Which value of total magnetization does entry 3 give?
  0.00 μB per formula unit